1.
# Pb4IF7

A PBEsol-optimized structure of Pb4IF7 (meta-GGA SCAN, the Alexandria database).

Computed properties:
E = -2.3959 Ry per atom

CIF file:
```
data_Pb4IF7
_space_group_name_H-M_alt 'C m c m'
_space_group_IT_number 63
_space_group_name_Hall '-C 2c 2'
_cell_length_a 6.043
_cell_length_b 24.624
_cell_length_c 5.964
_cell_angle_alpha 90.00
_cell_angle_beta 90.00
_cell_angle_gamma 90.00
loop_
_atom_site_label
_atom_site_type_symbol
_atom_site_fract_x
_atom_site_fract_y
_atom_site_fract_z
_atom_site_occupancy
Pb1 Pb 0.000 0.047 0.250 1
Pb2 Pb 0.000 0.154 0.750 1
Pb3 Pb 0.000 0.323 0.750 1
Pb4 Pb 0.000 0.441 0.250 1
I1 I 0.000 0.250 0.250 1
F1 F 0.000 0.062 0.750 1
F2 F 0.225 0.500 0.000 1
F3 F 0.233 0.378 0.520 1
```



2.
# PdIF2

A PBEsol-optimized structure of PdIF2 (meta-GGA SCAN, the Alexandria database).

Computed properties:
E = -1.4706 Ry per atom

CIF file:
```
data_PdIF2
_space_group_name_H-M_alt 'R -3 m'
_space_group_IT_number 166
_space_group_name_Hall '-R 3 2"'
_cell_length_a 3.3156
_cell_length_b 3.3156
_cell_length_c 27.7531
_cell_angle_alpha 90.00
_cell_angle_beta 90.00
_cell_angle_gamma 120.00
loop_
_atom_site_label
_atom_site_type_symbol
_atom_site_fract_x
_atom_site_fract_y
_atom_site_fract_z
_atom_site_occupancy
Pd1 Pd 0.0000 0.0000 0.0000 1
I1 I 0.0000 0.0000 0.5000 1
F1 F 0.0000 0.0000 0.3711 1
```



3.
# PtI3F

A PBEsol-optimized structure of PtI3F (meta-GGA SCAN, the Alexandria database).

Computed properties:
E = -2.6925 Ry per atom

CIF file:
```
data_PtI3F
_space_group_name_H-M_alt 'P m -3 m'
_space_group_IT_number 221
_space_group_name_Hall '-P 4 2 3'
_cell_length_a 5.339
_cell_length_b 5.339
_cell_length_c 5.339
_cell_angle_alpha 90.00
_cell_angle_beta 90.00
_cell_angle_gamma 90.00
loop_
_atom_site_label
_atom_site_type_symbol
_atom_site_fract_x
_atom_site_fract_y
_atom_site_fract_z
_atom_site_occupancy
Pt1 Pt 0.000 0.000 0.000 1
I1 I 0.000 0.000 0.500 1
F1 F 0.500 0.500 0.500 1
```



4.
# PtI2F

A PBEsol-optimized structure of PtI2F (meta-GGA SCAN, the Alexandria database).

Computed properties:
E = -2.7153 Ry per atom

CIF file:
```
data_PtI2F
_space_group_name_H-M_alt 'I -4 2 d'
_space_group_IT_number 122
_space_group_name_Hall 'I -4 2bw'
_cell_length_a 7.206
_cell_length_b 7.206
_cell_length_c 6.961
_cell_angle_alpha 90.00
_cell_angle_beta 90.00
_cell_angle_gamma 90.00
loop_
_atom_site_label
_atom_site_type_symbol
_atom_site_fract_x
_atom_site_fract_y
_atom_site_fract_z
_atom_site_occupancy
Pt1 Pt 0.000 0.000 0.000 1
I1 I 0.228 0.750 0.125 1
F1 F 0.000 0.000 0.500 1
```